Record 1
Below is a geometry-optimized AlHg2Os structure, with properties calculated at the PBE level.

Unit cell a=3.179 b=3.179 c=7.387 alpha=90.00 beta=90.00 gamma=90.00
Space group P4mm (No. 99)
One atom of each set of equivalent atoms:
1 Al 0.000 0.000 0.000
2 Hg 0.000 0.000 0.588
3 Hg 0.500 0.500 0.278
4 Os 0.500 0.500 0.853

Results
magnetization	0.000	μB/cell
ΔH_f (0 K)	0.27	eV per atom
DOS(E_F)	1.95	states/eV per cell
crystal system	tetragonal



Record 2
Below is a geometry-optimized YLuHgOs structure, with properties calculated at the PBE level.

Unit cell a=7.030 b=7.030 c=7.030 alpha=90.00 beta=90.00 gamma=90.00
Space group F-43m (No. 216)
One atom of each set of equivalent atoms:
1 Y 0.000 0.000 0.000
2 Lu 0.000 0.000 0.500
3 Hg 0.250 0.250 0.750
4 Os 0.250 0.250 0.250

Results
magnetization	0.000	μB/cell
ΔH_f (0 K)	-0.29	eV per atom
DOS(E_F)	12.96	states/eV per cell
crystal system	cubic



Record 3
Below is a geometry-optimized LiZn6Ni8 structure, with properties calculated at the PBE level.

Unit cell a=6.8067 b=6.8067 c=14.5579 alpha=90.00 beta=90.00 gamma=120.00
Space group R-3 (No. 148, hexagonal axes)
One atom of each set of equivalent atoms:
1 Li 0.0000 0.0000 0.0000
2 Zn 0.0036 0.2679 0.6223
3 Ni 0.0000 0.0000 0.2410
4 Ni 0.0041 0.6990 0.8714

Results
magnetization	0.000	μB/cell
ΔH_f (0 K)	-0.01	eV per atom
DOS(E_F)	34.89	states/eV per cell
crystal system	trigonal



Record 4
Below is a geometry-optimized MgBe2Ag structure, with properties calculated at the PBE level.

Unit cell a=2.8232 b=2.8232 c=25.0768 alpha=90.00 beta=90.00 gamma=120.00
Space group R-3m (No. 166, hexagonal axes)
One atom of each set of equivalent atoms:
1 Mg 0.0000 0.0000 0.0000
2 Be 0.0000 0.0000 0.2446
3 Ag 0.0000 0.0000 0.5000

Results
magnetization	0.000	μB/cell
ΔH_f (0 K)	0.45	eV per atom
DOS(E_F)	3.80	states/eV per cell
crystal system	trigonal



Record 5
Below is a geometry-optimized LiNp3O8 structure, with properties calculated at the PBE level.

Unit cell a=6.9356 b=6.9356 c=14.6928 alpha=90.00 beta=90.00 gamma=120.00
Space group R-3m (No. 166, hexagonal axes)
One atom of each set of equivalent atoms:
1 Li 0.0000 0.0000 0.0000
2 Np 0.0000 0.5000 0.5000
3 O 0.0000 0.0000 0.2360
4 O 0.0597 0.5298 0.7627

Results
magnetization	18.000	μB/cell
formation energy (no corrections)	-2.69	eV/atom
DOS(E_F)	40.11	states/eV per cell
crystal system	trigonal



Record 6
Below is a geometry-optimized Mn2NiOs structure, with properties calculated at the PBE level.

Unit cell a=3.699 b=3.699 c=3.610 alpha=90.00 beta=90.00 gamma=90.00
Space group P4/mmm (No. 123)
One atom of each set of equivalent atoms:
1 Mn 0.000 0.500 0.000
2 Ni 0.000 0.000 0.500
3 Os 0.500 0.500 0.500

Results
magnetization	0.000	μB/cell
ΔH_f (0 K)	-0.02	eV per atom
DOS(E_F)	4.52	states/eV per cell
crystal system	tetragonal



Repeat the fifth record exactly.
Below is a geometry-optimized LiNp3O8 structure, with properties calculated at the PBE level.

Unit cell a=6.9356 b=6.9356 c=14.6928 alpha=90.00 beta=90.00 gamma=120.00
Space group R-3m (No. 166, hexagonal axes)
One atom of each set of equivalent atoms:
1 Li 0.0000 0.0000 0.0000
2 Np 0.0000 0.5000 0.5000
3 O 0.0000 0.0000 0.2360
4 O 0.0597 0.5298 0.7627

Results
magnetization	18.000	μB/cell
formation energy (no corrections)	-2.69	eV/atom
DOS(E_F)	40.11	states/eV per cell
crystal system	trigonal



Please write out number 3 again, unchanged.
Below is a geometry-optimized LiZn6Ni8 structure, with properties calculated at the PBE level.

Unit cell a=6.8067 b=6.8067 c=14.5579 alpha=90.00 beta=90.00 gamma=120.00
Space group R-3 (No. 148, hexagonal axes)
One atom of each set of equivalent atoms:
1 Li 0.0000 0.0000 0.0000
2 Zn 0.0036 0.2679 0.6223
3 Ni 0.0000 0.0000 0.2410
4 Ni 0.0041 0.6990 0.8714

Results
magnetization	0.000	μB/cell
ΔH_f (0 K)	-0.01	eV per atom
DOS(E_F)	34.89	states/eV per cell
crystal system	trigonal